VASP calculation (GGA-PBE) on a geometry-optimized Na2Be3CuAu12 structure.

Structure (POSCAR):
```
Na2Be3CuAu12
1.0
4.144 2.393 6.114
-4.144 2.393 6.114
0.000 -4.785 6.114
Na Be Cu Au
2 3 1 12
direct
0.105 0.105 0.105 Na
0.895 0.895 0.895 Na
0.000 0.500 0.500 Be
0.500 0.000 0.500 Be
0.500 0.500 0.000 Be
0.500 0.500 0.500 Cu
0.122 0.625 0.625 Au
0.154 0.154 0.602 Au
0.154 0.602 0.154 Au
0.375 0.375 0.878 Au
0.375 0.878 0.375 Au
0.398 0.846 0.846 Au
0.602 0.154 0.154 Au
0.625 0.122 0.625 Au
0.625 0.625 0.122 Au
0.846 0.398 0.846 Au
0.846 0.846 0.398 Au
0.878 0.375 0.375 Au
```

volume	364	Å³ per cell
energy	-3.184	eV per atom
energy relative to the elements	-0.0041	eV/atom
N(E_F)	8.64	states/eV per cell

=====

VASP calculation (GGA-PBE) on a geometry-optimized LiSi2Pd2 structure.

Structure (POSCAR):
```
LiSi2Pd2
1.0
2.819 -3.533 0.000
2.819 3.533 0.000
-2.242 0.000 4.034
Li Si Pd
1 2 2
direct
0.000 0.000 0.000 Li
0.391 0.391 0.700 Si
0.609 0.609 0.300 Si
0.206 0.794 0.500 Pd
0.794 0.206 0.500 Pd
```

volume	80	Å³ per cell
formation energy from raw total energies	-0.53	eV per atom
energy	-5.162	eV per atom
N(E_F)	2.04	states/eV per cell

=====

VASP calculation (GGA-PBE) on a geometry-optimized Ho4ZnRh2 structure.

Structure (POSCAR):
```
Ho4ZnRh2
1.0
7.082 0.000 0.000
-1.897 6.881 0.000
-2.118 -2.769 6.554
Ho Zn Rh
8 2 4
direct
0.000 0.000 0.000 Ho
0.038 0.188 0.593 Ho
0.179 0.569 0.059 Ho
0.218 0.768 0.670 Ho
0.410 0.423 0.424 Ho
0.585 0.066 0.198 Ho
0.643 0.228 0.785 Ho
0.763 0.641 0.256 Ho
0.276 0.961 0.386 Zn
0.583 0.669 0.863 Zn
0.364 0.261 0.975 Rh
0.640 0.856 0.544 Rh
0.854 0.538 0.686 Rh
0.980 0.377 0.296 Rh
```

volume	319	Å³ per cell
polymorph energy (0 for the lowest one)	0.0	meV per atom
energy	-5.495	eV per atom
energy relative to the elements	-0.5968	eV/atom
N(E_F)	10.17	states/eV per cell

=====

VASP calculation (GGA-PBE) on a geometry-optimized Th2ScSb structure.

Structure (POSCAR):
```
Th2ScSb
1.0
4.703 0.000 0.000
0.000 4.703 0.000
0.000 0.000 4.936
Th Sc Sb
2 1 1
direct
0.000 0.500 0.000 Th
0.500 0.000 0.000 Th
0.000 0.000 0.500 Sc
0.500 0.500 0.500 Sb
```

volume	109	Å³ per cell
formation energy from raw total energies	-0.43	eV per atom
polymorph energy (0 for the lowest one)	0.0	meV per atom
energy	-6.753	eV per atom
N(E_F)	4.05	states/eV per cell

=====

VASP calculation (GGA-PBE) on a geometry-optimized InHg6Pb5 structure.

Structure (POSCAR):
```
InHg6Pb5
1.0
5.620 0.000 0.000
0.348 7.529 0.000
2.600 0.072 7.916
In Hg Pb
1 6 5
direct
0.000 0.000 0.000 In
0.161 0.247 0.675 Hg
0.161 0.753 0.675 Hg
0.498 0.761 0.000 Hg
0.502 0.239 0.000 Hg
0.839 0.247 0.325 Hg
0.839 0.753 0.325 Hg
0.000 0.500 0.000 Pb
0.327 0.998 0.345 Pb
0.338 0.500 0.330 Pb
0.662 0.500 0.670 Pb
0.673 0.002 0.655 Pb
```

volume	335	Å³ per cell
energy	-1.895	eV per atom
energy relative to the elements	0.0290	eV/atom
N(E_F)	5.47	states/eV per cell

=====

VASP calculation (GGA-PBE) on a geometry-optimized LiMgPb2 structure.

Structure (POSCAR):
```
LiMgPb2
1.0
1.708 0.986 9.957
-1.708 0.986 9.957
0.000 -1.972 9.957
Li Mg Pb
1 1 2
direct
0.000 0.000 0.000 Li
0.500 0.500 0.500 Mg
0.253 0.253 0.253 Pb
0.747 0.747 0.747 Pb
```

volume	101	Å³ per cell
energy	-2.846	eV per atom
energy relative to the elements	-0.1143	eV/atom
N(E_F)	1.58	states/eV per cell

=====

VASP calculation (GGA-PBE) on a geometry-optimized SrLa structure.

Structure (POSCAR):
```
SrLa
1.0
0.000 3.787 3.787
3.787 0.000 3.787
3.787 3.787 0.000
Sr La
1 1
direct
0.000 0.000 0.000 Sr
0.250 0.250 0.250 La
```

volume	109	Å³ per cell
polymorph energy (0 for the lowest one)	1556.1	meV per atom
energy	-1.687	eV per atom
energy relative to the elements	1.6174	eV/atom
N(E_F)	4.22	states/eV per cell

=====

VASP calculation (GGA-PBE) on a geometry-optimized CaMnZn2 structure.

Structure (POSCAR):
```
CaMnZn2
1.0
2.187 1.263 5.082
-2.187 1.263 5.082
0.000 -2.526 5.082
Ca Mn Zn
1 1 2
direct
0.000 0.000 0.000 Ca
0.500 0.500 0.500 Mn
0.201 0.201 0.201 Zn
0.799 0.799 0.799 Zn
```

volume	84	Å³ per cell
energy	-3.457	eV per atom
energy relative to the elements	-0.0270	eV/atom
N(E_F)	1.95	states/eV per cell

=====

VASP calculation (GGA-PBE) on a geometry-optimized RePbAu2 structure.

Structure (POSCAR):
```
RePbAu2
1.0
2.975 0.000 0.000
0.000 2.975 0.000
0.000 0.000 8.988
Re Pb Au
1 1 2
direct
0.000 0.000 0.000 Re
0.000 0.000 0.500 Pb
0.500 0.500 0.208 Au
0.500 0.500 0.792 Au
```

volume	80	Å³ per cell
energy	-5.163	eV per atom
energy relative to the elements	0.5152	eV/atom
N(E_F)	2.49	states/eV per cell

=====

VASP calculation (GGA-PBE) on a geometry-optimized Tb2PrDyEr2 structure.

Structure (POSCAR):
```
Tb2PrDyEr2
1.0
6.517 0.000 0.000
0.000 17.879 0.000
0.000 0.000 3.402
Tb Pr Dy Er
4 2 2 4
direct
0.220 0.188 0.000 Tb
0.280 0.688 0.500 Tb
0.720 0.312 0.500 Tb
0.780 0.812 0.000 Tb
0.000 0.000 0.000 Pr
0.500 0.500 0.500 Pr
0.000 0.500 0.000 Dy
0.500 0.000 0.500 Dy
0.218 0.352 0.500 Er
0.282 0.852 0.000 Er
0.718 0.148 0.000 Er
0.782 0.648 0.500 Er
```

volume	396	Å³ per cell
energy	-4.351	eV per atom
energy relative to the elements	0.2773	eV/atom
N(E_F)	19.45	states/eV per cell

=====

VASP calculation (GGA-PBE) on a geometry-optimized ZnFe4Ir15 structure.

Structure (POSCAR):
```
ZnFe4Ir15
1.0
3.835 0.000 0.000
0.000 3.835 0.000
0.000 0.000 19.147
Zn Fe Ir
1 4 15
direct
0.000 0.000 0.000 Zn
0.000 0.000 0.200 Fe
0.000 0.000 0.400 Fe
0.000 0.000 0.600 Fe
0.000 0.000 0.800 Fe
0.000 0.500 0.103 Ir
0.000 0.500 0.301 Ir
0.000 0.500 0.500 Ir
0.000 0.500 0.699 Ir
0.000 0.500 0.897 Ir
0.500 0.000 0.103 Ir
0.500 0.000 0.301 Ir
0.500 0.000 0.500 Ir
0.500 0.000 0.699 Ir
0.500 0.000 0.897 Ir
0.500 0.500 0.000 Ir
0.500 0.500 0.202 Ir
0.500 0.500 0.400 Ir
0.500 0.500 0.600 Ir
0.500 0.500 0.798 Ir
```

volume	282	Å³ per cell
energy	-8.430	eV per atom
energy relative to the elements	-0.0283	eV/atom
N(E_F)	26.42	states/eV per cell

=====

VASP calculation (GGA-PBE) on a geometry-optimized HfBi structure.

Structure (POSCAR):
```
HfBi
1.0
0.000 3.320 3.320
3.320 0.000 3.320
3.320 3.320 0.000
Hf Bi
1 1
direct
0.000 0.000 0.000 Hf
0.750 0.750 0.750 Bi
```

volume	73	Å³ per cell
energy	-6.255	eV per atom
energy relative to the elements	0.6619	eV/atom
N(E_F)	1.27	states/eV per cell